(1)
# AlCd5Ag4 (PBE-GGA, optimized geometry)
data_AlCd5Ag4
_chemical_formula_sum 'Al1 Cd5 Ag4'
_cell_length_a 4.392
_cell_length_b 7.102
_cell_length_c 7.753
_cell_angle_alpha 116.50
_cell_angle_beta 106.45
_cell_angle_gamma 90.00
_space_group_name_H-M_alt 'P 1'
_space_group_IT_number 1
_space_group_name_Hall 'P 1'
loop_
_atom_site_label
_atom_site_type_symbol
_atom_site_fract_x
_atom_site_fract_y
_atom_site_fract_z
Al1 Al 0.500 0.000 0.000
Cd1 Cd 0.836 0.373 0.671
Cd2 Cd 0.817 0.762 0.633
Cd3 Cd 0.183 0.238 0.366
Cd4 Cd 0.500 0.500 0.000
Cd5 Cd 0.164 0.627 0.329
Ag1 Ag 0.330 0.067 0.660
Ag2 Ag 0.985 0.206 0.969
Ag3 Ag 0.670 0.933 0.340
Ag4 Ag 0.015 0.794 0.031
# SG: No. 12
# Total magnetic moment, μB/cell: 0.000
# VASP energy, eV per atom: -1.976
# Formation energy from the elements, meV/atom: -4

***

(2)
# Ca2AgTe (PBE-GGA, optimized geometry)
data_Ca2AgTe
_chemical_formula_sum 'Ca2 Ag1 Te1'
_cell_length_a 6.769
_cell_length_b 6.769
_cell_length_c 6.769
_cell_angle_alpha 142.05
_cell_angle_beta 142.05
_cell_angle_gamma 54.75
_space_group_name_H-M_alt 'P 1'
_space_group_IT_number 1
_space_group_name_Hall 'P 1'
loop_
_atom_site_label
_atom_site_type_symbol
_atom_site_fract_x
_atom_site_fract_y
_atom_site_fract_z
Ca1 Ca 0.000 0.000 0.000
Ca2 Ca 0.250 0.750 0.500
Te1 Te 0.500 0.500 0.000
Ag1 Ag 0.750 0.250 0.500
# SG: No. 119
# Total magnetic moment, μB/cell: 0.000
# Formation energy (no corrections), meV per atom: -676.9
# VASP energy, eV per atom: -3.176

***

(3)
# Ti8InCu2 (PBE-GGA, optimized geometry)
data_Ti8InCu2
_chemical_formula_sum 'Ti8 In1 Cu2'
_cell_length_a 4.514
_cell_length_b 7.143
_cell_length_c 7.143
_cell_angle_alpha 117.88
_cell_angle_beta 100.36
_cell_angle_gamma 100.36
_space_group_name_H-M_alt 'P 1'
_space_group_IT_number 1
_space_group_name_Hall 'P 1'
loop_
_atom_site_label
_atom_site_type_symbol
_atom_site_fract_x
_atom_site_fract_y
_atom_site_fract_z
Ti1 Ti 0.892 0.909 0.679
Ti2 Ti 0.892 0.679 0.909
Ti3 Ti 0.298 0.588 0.588
Ti4 Ti 0.500 0.768 0.232
Ti5 Ti 0.500 0.232 0.768
Ti6 Ti 0.702 0.412 0.412
Ti7 Ti 0.108 0.321 0.091
Ti8 Ti 0.108 0.091 0.321
In1 In 0.500 0.000 0.000
Cu1 Cu 0.000 0.307 0.693
Cu2 Cu 0.000 0.693 0.307
# SG: No. 12
# Total magnetic moment, μB/cell: 0.000
# VASP energy, eV per atom: -6.642
# Formation energy from the elements, meV/atom: 94